# 1
The following is a PBE-GGA calculation of a relaxed Zn2AgMo crystal, from Alexandria via LeMat-Bulk.

Results
The value obtained for the energy relative to the elements is 0.20 eV/atom. The space-group type is P4/mmm. The spin magnetization comes out at 0.0 μB/f.u.

Cell: 4.106 4.102 3.676 Å, 90.00 90.00 90.00°
Element x y z (fractional)
Ag (0.500, 0.000, 0.500)
Zn (0.000, 0.000, 0.000)
Zn (0.500, 0.500, 0.000)
Mo (0.000, 0.500, 0.500)


# 2
The following is a PBE-GGA calculation of a relaxed LaTlMo2 crystal, from Alexandria via LeMat-Bulk.

Results
The value obtained for the energy relative to the elements is 0.61 eV/atom. The space-group type is P4/mmm. The spin magnetization comes out at 0.0 μB/f.u.

Cell: 3.716 3.715 6.785 Å, 90.00 90.00 90.00°
Element x y z (fractional)
Tl (0.500, 0.500, 0.250)
Mo (0.000, 0.000, 0.076)
Mo (0.000, 0.000, 0.424)
La (0.500, 0.500, 0.750)


# 3
The following is a PBE-GGA calculation of a relaxed LiAc2Eu crystal, from Alexandria via LeMat-Bulk.

Results
The value obtained for the energy relative to the elements is 0.23 eV/atom. The space-group type is R-3m. The spin magnetization comes out at 8.0 μB/f.u.

Cell: 3.836 3.836 13.528 Å, 81.85 81.85 60.00°
Each line ends with the local moment (μB).
Element x y z (fractional)
Eu (0.500, 0.500, 0.500)  7.03
Li (0.000, 0.000, 0.000)  0.01
Ac (0.913, 0.913, 0.261)  0.07
Ac (0.087, 0.087, 0.739)  0.07


# 4
The following is a PBE-GGA calculation of a relaxed TbErAu4 crystal, from Alexandria via LeMat-Bulk.

Results
The value obtained for the energy relative to the elements is -0.87 eV/atom. The space-group type is C2/m. The spin magnetization comes out at 0.0 μB/f.u.

Cell: 3.733 5.252 7.459 Å, 80.30 75.54 110.87°
Element x y z (fractional)
Au (0.171, 0.502, 0.663)
Au (0.832, 0.492, 0.333)
Au (0.337, 0.997, 0.827)
Au (0.665, 0.997, 0.170)
Er (0.001, 0.997, 0.498)
Tb (0.501, 0.497, 0.998)


# 5
The following is a PBE-GGA calculation of a relaxed CuSbTe2O crystal, from Alexandria via LeMat-Bulk.

Results
The space-group type is P4/mmm. The value obtained for the raw formation energy is 0.356 eV/atom. The spin magnetization comes out at 0.0 μB/f.u.

Cell: 4.849 4.849 4.672 Å, 90.00 90.00 90.00°
Element x y z (fractional)
Cu (0.500, 0.500, 0.500)
O (0.000, 0.000, 0.000)
Te (0.000, 0.500, 0.000)
Te (0.500, 0.000, 0.000)
Sb (0.000, 0.000, 0.500)


# 6
The following is a PBE-GGA calculation of a relaxed ErScCd crystal, from Alexandria via LeMat-Bulk.

Results
The value obtained for the energy relative to the elements is -0.18 eV/atom. The space-group type is I4mm. The spin magnetization comes out at 1.0 μB/f.u.

Cell: 3.449 3.449 6.824 Å, 104.64 104.64 90.00°
Each line ends with the local moment (μB).
Element x y z (fractional)
Cd (0.957, 0.957, 0.914)  0.01
Sc (0.606, 0.606, 0.211)  0.33
Er (0.288, 0.288, 0.575)  0.35


# 7
The following is a PBE-GGA calculation of a relaxed DyEr2Re crystal, from Alexandria via LeMat-Bulk.

Results
The value obtained for the energy relative to the elements is 0.27 eV/atom. The space-group type is Fm-3m. The spin magnetization comes out at 0.0 μB/f.u.

Cell: 5.109 5.109 5.110 Å, 60.01 60.01 60.00°
Element x y z (fractional)
Er (0.750, 0.750, 0.750)
Er (0.250, 0.250, 0.250)
Dy (0.500, 0.500, 0.500)
Re (0.000, 0.000, 0.000)


# 8
The following is a PBE-GGA calculation of a relaxed Sb3PtPb crystal, from Alexandria via LeMat-Bulk.

Results
The space-group type is Pm-3m. The value obtained for the raw formation energy is 0.264 eV/atom. The spin magnetization comes out at 0.0 μB/f.u.

Cell: 5.334 5.334 5.334 Å, 90.00 90.00 90.00°
Element x y z (fractional)
Sb (0.000, 0.500, 0.000)
Sb (0.500, 0.000, 0.000)
Sb (0.000, 0.000, 0.500)
Pb (0.500, 0.500, 0.500)
Pt (0.000, 0.000, 0.000)


# 9
The following is a PBE-GGA calculation of a relaxed TbAg2TeO6 crystal, from Alexandria via LeMat-Bulk.

Results
The space-group type is R3. The value obtained for the raw formation energy is -1.288 eV/atom. The spin magnetization comes out at 0.0 μB/f.u.

Cell: 5.700 5.700 5.842 Å, 60.80 60.80 60.00°
Element x y z (fractional)
O (0.650, 0.100, 0.806)
O (0.989, 0.548, 0.273)
O (0.101, 0.444, 0.806)
O (0.191, 0.989, 0.273)
O (0.548, 0.191, 0.273)
O (0.444, 0.650, 0.806)
Tb (0.816, 0.816, 0.551)
Te (0.318, 0.318, 0.046)
Ag (0.052, 0.052, 0.843)
Ag (0.554, 0.554, 0.339)


# 10
The following is a PBE-GGA calculation of a relaxed TbPm4Y2Er2 crystal, from Alexandria via LeMat-Bulk.

Results
The value obtained for the energy relative to the elements is 0.02 eV/atom. The space-group type is C2/m. The spin magnetization comes out at 0.0 μB/f.u.

Cell: 3.591 9.495 8.809 Å, 89.97 90.00 100.90°
Element x y z (fractional)
Pm (0.555, 0.111, 0.330)
Pm (0.778, 0.556, 0.669)
Pm (0.222, 0.444, 0.331)
Pm (0.445, 0.889, 0.670)
Y (0.889, 0.777, 0.329)
Y (0.111, 0.223, 0.671)
Er (0.333, 0.666, 0.999)
Er (0.667, 0.334, 0.001)
Tb (0.000, 0.000, 0.000)


# 11
The following is a PBE-GGA calculation of a relaxed LiTaFe2 crystal, from Alexandria via LeMat-Bulk.

Results
The value obtained for the energy relative to the elements is 0.25 eV/atom. The space-group type is F-43m. The spin magnetization comes out at 3.5 μB/f.u.

Cell: 4.191 4.191 4.191 Å, 60.00 60.00 60.00°
Each line ends with the local moment (μB).
Element x y z (fractional)
Fe (0.250, 0.250, 0.250)  2.59
Fe (0.000, 0.000, 0.000)  1.37
Li (0.500, 0.500, 0.500)  -0.05
Ta (0.750, 0.750, 0.750)  -0.29


# 12
The following is a PBE-GGA calculation of a relaxed KSiSb2 crystal, from Alexandria via LeMat-Bulk.

Results
The space-group type is Cmmm. The value obtained for the raw formation energy is 0.279 eV/atom. The spin magnetization comes out at 0.0 μB/f.u.

Cell: 5.977 5.977 3.217 Å, 90.00 90.00 112.35°
Element x y z (fractional)
Si (0.500, 0.000, 0.500)
K (0.000, 0.500, 0.500)
Sb (0.000, 0.000, 0.000)
Sb (0.500, 0.500, 0.000)


> Look up the spin magnetization of the eleventh one.

3.5 μB/f.u.


> Which value of spin magnetization does entry 9 give?

0.0 μB/f.u.


> spin magnetization of number 5 (CuSbTe2O)?

0.0 μB/f.u.